The following is a GGA+U calculation of an optimized crystal structure of Pm2MnCdO5, from Alexandria.

Calculated volume (Å³/atom): 14.558
Total DFT energy (no corrections) (eV for the cell shown): -125.68
Density of states at the Fermi level (states/eV/atom): 0.195
M_tot (μB per atom): 0.41

Lattice parameters (Å, degrees): 6.7648 6.7648 5.7263 90.00 90.00 90.00
Last column: nearest neighbours and their distance in Å.
Space group P4/mbm (No. 127)
Unique sites:
1 Pm 0.1777 0.3223 0.0000 x4  8 O 2.32-2.58
2 Mn 0.0000 0.5000 0.5000 x2  4 O 1.90
3 Cd 0.0000 0.0000 0.5000 x2  10 O 2.86-2.99
4 O 0.0000 0.0000 0.0000 x2  4 Pm 2.49
5 O 0.1334 0.6334 0.2542 x8  1 Mn 1.90